# HoSb2Rh4 (PBE-GGA, relaxed)
data_HoSb2Rh4
_chemical_formula_sum 'Ho2 Sb4 Rh8'
_cell_length_a 7.9523
_cell_length_b 7.9523
_cell_length_c 4.1067
_cell_angle_alpha 90.00
_cell_angle_beta 90.00
_cell_angle_gamma 90.00
_space_group_name_H-M_alt 'P 42/m n m'
_space_group_IT_number 136
_space_group_name_Hall '-P 4n 2n'
loop_
_atom_site_label
_atom_site_type_symbol
_atom_site_fract_x
_atom_site_fract_y
_atom_site_fract_z
Ho1 Ho 0.0000 0.0000 0.0000
Sb1 Sb 0.2247 0.2247 0.5000
Rh1 Rh 0.0809 0.6575 0.5000
# Raw formation energy (meV/atom): -555



# InGa2NiSn (PBE-GGA, relaxed)
data_InGa2NiSn
_chemical_formula_sum 'In1 Ga2 Ni1 Sn1'
_cell_length_a 4.6351
_cell_length_b 4.6351
_cell_length_c 5.1852
_cell_angle_alpha 90.00
_cell_angle_beta 90.00
_cell_angle_gamma 90.00
_space_group_name_H-M_alt 'P 4/m m m'
_space_group_IT_number 123
_space_group_name_Hall '-P 4 2'
loop_
_atom_site_label
_atom_site_type_symbol
_atom_site_fract_x
_atom_site_fract_y
_atom_site_fract_z
In1 In 0.0000 0.0000 0.0000
Ga1 Ga 0.0000 0.5000 0.5000
Ni1 Ni 0.5000 0.5000 0.5000
Sn1 Sn 0.5000 0.5000 0.0000
# Energy of formation from the pure elements (meV per atom): -30



# LiHo2AlO (PBE-GGA, relaxed)
data_LiHo2AlO
_chemical_formula_sum 'Li1 Ho2 Al1 O1'
_cell_length_a 4.7477
_cell_length_b 4.7477
_cell_length_c 4.0847
_cell_angle_alpha 90.00
_cell_angle_beta 90.00
_cell_angle_gamma 90.00
_space_group_name_H-M_alt 'P 4/m m m'
_space_group_IT_number 123
_space_group_name_Hall '-P 4 2'
loop_
_atom_site_label
_atom_site_type_symbol
_atom_site_fract_x
_atom_site_fract_y
_atom_site_fract_z
Li1 Li 0.0000 0.0000 0.0000
Ho1 Ho 0.0000 0.5000 0.5000
Al1 Al 0.5000 0.5000 0.0000
O1 O 0.0000 0.0000 0.5000
# Raw formation energy (meV/atom): -1371



Table of calculated density (g cm⁻³), in record order: 10.5; 6.4; 6.8
Table of D(E_F) (states/eV/f.u.), in record order: 5.5; 2.5; 1.2